Entry 1:
A relaxed structure of HfNi2Ag, computed with GGA-PBE.

Values from the calculation:
Energy   -5.9079 eV per atom

abc: 6.876 6.876 5.584
angles: 51.99 51.99 90.00
Fractional coordinates of all 8 atoms:
Ni 0.875 0.881 0.750
Ni 0.119 0.625 0.250
Ni 0.631 0.125 0.250
Ni 0.375 0.369 0.750
Hf 0.000 0.000 0.000
Hf 0.750 0.250 0.500
Ag 0.250 0.750 0.500
Ag 0.500 0.500 0.000

Entry 2:
A relaxed structure of Hf2NiAg, computed with GGA-PBE.

Values from the calculation:
Energy   -6.6575 eV per atom

abc: 4.136 4.136 9.683
angles: 77.67 77.67 90.00
Fractional coordinates of all 8 atoms:
Ag 0.750 0.250 0.500
Ag 0.000 0.000 0.000
Hf 0.615 0.125 0.250
Hf 0.135 0.625 0.250
Hf 0.875 0.865 0.750
Hf 0.375 0.385 0.750
Ni 0.500 0.500 0.000
Ni 0.250 0.750 0.500

Entry 3:
A relaxed structure of HfNiAg2, computed with GGA-PBE.

Values from the calculation:
Energy   -5.2313 eV per atom

abc: 4.577 4.577 4.577
angles: 60.00 60.00 60.00
Fractional coordinates of all 4 atoms:
Hf 0.500 0.500 0.500
Ag 0.250 0.250 0.250
Ag 0.750 0.750 0.750
Ni 0.000 0.000 0.000

Entry 4:
A relaxed structure of Hf2NiAg2, computed with GGA-PBE.

Values from the calculation:
Energy   -6.0520 eV per atom

abc: 6.791 6.791 4.083
angles: 90.00 90.00 90.00
Fractional coordinates of all 10 atoms:
Ag 0.862 0.638 0.000
Ag 0.138 0.362 0.000
Ag 0.638 0.138 0.000
Ag 0.362 0.862 0.000
Hf 0.327 0.173 0.500
Hf 0.827 0.327 0.500
Hf 0.673 0.827 0.500
Hf 0.173 0.673 0.500
Ni 0.000 0.000 0.000
Ni 0.500 0.500 0.000

| no. | ΔH_f (0 K) (kJ/mol of formula units) |
| --- | --- |
| 1 | 71 |
| 2 | 184 |
| 3 | 49 |
| 4 | 109 |